# Te2CF2

A geometry-optimized Te2CF2 structure (PBE, Alexandria).

Cell lengths 3.4489, 3.4489, 12.9749 Å; angles 90.00, 90.00, 90.00 degrees
Space group I4/mmm (No. 139)
Unique sites:
Te  0.0000  0.0000  0.1085 (multiplicity 4)
C  0.0000  0.0000  0.5000 (multiplicity 2)
F  0.0000  0.5000  0.2500 (multiplicity 4)

## Properties
**VASP energy**: -35.40 eV for the cell shown
**Polymorph energy (0 for the lowest one)**: 0.000 eV/atom
**Raw formation energy**: 30 kJ per mole of atoms